[1]
Computed, not measured: a geometry-optimized ZrTaTe2 structure at the PBEsol level of DFT.

abc: 4.873 4.873 4.873
angles: 60.00 60.00 60.00
Element x y z (fractional)
Zr 0.000 0.000 0.000
Ta 0.500 0.500 0.500
Te 0.250 0.250 0.250
Te 0.750 0.750 0.750

Computed properties:
space group = No. 225
polymorph energy (0 for the lowest one) = 0 meV/atom
M_tot = 0.0 μB per cell
formation energy from raw total energies = -0.35 eV/atom
Fermi-level density of states = 4.18 states/eV per cell

***

[2]
Computed, not measured: a geometry-optimized SrAgS2Cl structure at the PBEsol level of DFT.

abc: 4.930 4.930 5.157
angles: 90.00 90.00 90.00
Element x y z (fractional)
Sr 0.000 0.000 0.000
Ag 0.500 0.500 0.000
S 0.000 0.500 0.500
S 0.500 0.000 0.500
Cl 0.000 0.000 0.500

Computed properties:
space group = No. 123
M_tot = 0.0 μB per cell
formation energy from raw total energies = 0.10 eV/atom
Fermi-level density of states = 2.90 states/eV per cell

***

[3]
Computed, not measured: a geometry-optimized ZrFeCl4 structure at the PBEsol level of DFT.

abc: 5.504 5.504 5.504
angles: 60.00 60.00 60.00
Element x y z (fractional)
Zr 0.000 0.000 0.000
Fe 0.750 0.750 0.750
Cl 0.375 0.375 0.375
Cl 0.375 0.375 0.875
Cl 0.375 0.875 0.375
Cl 0.875 0.375 0.375

Computed properties:
space group = No. 216
M_tot = 3.7 μB per cell
formation energy from raw total energies = 0.66 eV/atom
Fermi-level density of states = 9.21 states/eV per cell

***

[4]
Computed, not measured: a geometry-optimized Ba2ErInSe5 structure at the PBEsol level of DFT.

abc: 9.559 9.559 13.193
angles: 90.00 90.00 154.41
Element x y z (fractional)
Ba 0.118 0.882 0.500
Ba 0.133 0.867 0.870
Ba 0.867 0.133 0.370
Ba 0.882 0.118 0.000
Er 0.211 0.789 0.166
Er 0.789 0.211 0.666
In 0.448 0.552 0.744
In 0.552 0.448 0.244
Se 0.051 0.949 0.128
Se 0.292 0.708 0.528
Se 0.312 0.688 0.814
Se 0.356 0.644 0.182
Se 0.495 0.505 0.418
Se 0.505 0.495 0.918
Se 0.644 0.356 0.682
Se 0.688 0.312 0.314
Se 0.708 0.292 0.028
Se 0.949 0.051 0.628

Computed properties:
space group = No. 36
M_tot = 0.0 μB per cell
formation energy from raw total energies = -1.62 eV/atom

***

[5]
Computed, not measured: a geometry-optimized Bi3PRu structure at the PBEsol level of DFT.

abc: 5.207 5.207 5.207
angles: 90.00 90.00 90.00
Element x y z (fractional)
Bi 0.000 0.000 0.500
Bi 0.000 0.500 0.000
Bi 0.500 0.000 0.000
P 0.000 0.000 0.000
Ru 0.500 0.500 0.500

Computed properties:
space group = No. 221
formation enthalpy at 0 K = 1280 meV/atom
polymorph energy (0 for the lowest one) = 554 meV/atom
M_tot = 1.7 μB per cell
Fermi-level density of states = 7.94 states/eV per cell

***

[6]
Computed, not measured: a geometry-optimized BaSb2Cl structure at the PBEsol level of DFT.

abc: 4.296 4.296 6.567
angles: 90.00 90.00 90.00
Element x y z (fractional)
Ba 0.000 0.000 0.000
Sb 0.000 0.500 0.500
Sb 0.500 0.000 0.500
Cl 0.500 0.500 0.000

Computed properties:
space group = No. 123
polymorph energy (0 for the lowest one) = 0 meV/atom
M_tot = 0.0 μB per cell
formation energy from raw total energies = -1.08 eV/atom
Fermi-level density of states = 1.97 states/eV per cell

***

[7]
Computed, not measured: a geometry-optimized Na2GeSe structure at the PBEsol level of DFT.

abc: 4.953 4.953 4.953
angles: 60.00 60.00 60.00
Element x y z (fractional)
Na 0.250 0.250 0.250
Na 0.750 0.750 0.750
Ge 0.000 0.000 0.000
Se 0.500 0.500 0.500

Computed properties:
space group = No. 225
M_tot = 0.0 μB per cell
formation energy from raw total energies = -0.19 eV/atom
Fermi-level density of states = 2.22 states/eV per cell

***

[8]
Computed, not measured: a geometry-optimized KCr2Ir structure at the PBEsol level of DFT.

abc: 2.904 2.904 8.386
angles: 90.00 90.00 90.00
Element x y z (fractional)
K 0.000 0.000 0.000
Cr 0.000 0.000 0.516
Cr 0.500 0.500 0.352
Ir 0.500 0.500 0.691

Computed properties:
space group = No. 99
formation enthalpy at 0 K = 668 meV/atom
polymorph energy (0 for the lowest one) = 0 meV/atom
M_tot = 2.2 μB per cell
Fermi-level density of states = 2.85 states/eV per cell